[1]
Compound: Sc2InTc
Source: OQMD
Functional: PBE-GGA
Structure: relaxed

Properties
calculated total energy = -50.24 eV/cell
ρ = 5.88 g/cm3
SG = P6_3/mmc, No. 194
crystal system = hexagonal

a = 4.606 Å, b = 4.606 Å, c = 9.299 Å
α = 90.00°, β = 90.00°, γ = 120.00°
Element x y z (fractional)
Sc1 0.333 0.667 0.079
Sc2 0.333 0.667 0.421
Sc3 0.667 0.333 0.579
Sc4 0.667 0.333 0.921
In1 0.333 0.667 0.750
In2 0.667 0.333 0.250
Tc1 0.000 0.000 0.000
Tc2 0.000 0.000 0.500

---

[2]
Compound: MgGaReMo
Source: OQMD
Functional: PBE-GGA
Structure: relaxed

Properties
ρ = 10.24 g/cm3
energy above the lowest structure with this stoichiometry = 0.000 kcal/mol of atoms
SG = F-43m, No. 216
crystal system = cubic

a = 4.419 Å, b = 4.419 Å, c = 4.419 Å
α = 60.00°, β = 60.00°, γ = 60.00°
Element x y z (fractional)
Mg1 0.000 0.000 0.000
Ga1 0.250 0.250 0.250
Re1 0.500 0.500 0.500
Mo1 0.750 0.750 0.750